Density functional theory data (PBE) for Dy after structural relaxation.

Structure (CIF):
```
data_Dy
_space_group_name_H-M_alt 'P 1'
_space_group_IT_number 1
_cell_length_a 3.550
_cell_length_b 3.550
_cell_length_c 11.417
_cell_angle_alpha 90.00
_cell_angle_beta 90.00
_cell_angle_gamma 120.00
loop_
_space_group_symop_operation_xyz
'x,y,z'
loop_
_atom_site_label
_atom_site_type_symbol
_atom_site_fract_x
_atom_site_fract_y
_atom_site_fract_z
_atom_site_occupancy
Dy1 Dy 0.000 0.000 0.000 1
Dy2 Dy 0.000 0.000 0.500 1
Dy3 Dy 0.333 0.667 0.250 1
Dy4 Dy 0.667 0.333 0.750 1
```

Output
Total DFT energy (no corrections) = -18.40 eV/cell
Crystal system = hexagonal
Space group = No. 194
Volume = 31.151 Å³/atom
ΔE to the lowest computed polymorph = 2 meV/atom
E_form = 2.0 meV per atom

---

Density functional theory data (PBE) for Dy after structural relaxation.

Structure (CIF):
```
data_Dy
_space_group_name_H-M_alt 'P 1'
_space_group_IT_number 1
_cell_length_a 5.580
_cell_length_b 5.580
_cell_length_c 3.463
_cell_angle_alpha 90.00
_cell_angle_beta 90.00
_cell_angle_gamma 120.00
loop_
_space_group_symop_operation_xyz
'x,y,z'
loop_
_atom_site_label
_atom_site_type_symbol
_atom_site_fract_x
_atom_site_fract_y
_atom_site_fract_z
_atom_site_occupancy
Dy1 Dy 0.000 0.000 0.000 1
Dy2 Dy 0.333 0.667 0.500 1
Dy3 Dy 0.667 0.333 0.500 1
```

Output
Total DFT energy (no corrections) = -13.60 eV/cell
Crystal system = hexagonal
Space group = No. 191
Volume = 31.133 Å³/atom
ΔE to the lowest computed polymorph = 69 meV/atom
E_form = 68.8 meV per atom